Entry 1:
PmDyPu: optimized geometry, GGA-PBE.

Cell: 3.536 3.536 14.926 Å, 90.00 90.00 90.00°
Space group I4mm (No. 107)
Unique sites:
Pm 0.000 0.000 0.000
Dy 0.000 0.000 0.327
Pu 0.000 0.000 0.666

Properties
The formation energy is 0.121 eV per atom. As for the distance to the lowest polymorph of the same formula: 0.0 meV per atom. The density comes out at 9815 kg/m³.

Entry 2:
Pm3Dy3PuS8: optimized geometry, GGA-PBE.

Cell: 7.9083 7.9083 19.5299 Å, 90.00 90.00 120.00°
Space group R-3m (No. 166, hexagonal axes)
Unique sites:
Pm 0.0000 0.5000 0.0000
Dy 0.0000 0.5000 0.5000
Pu 0.0000 0.0000 0.5000
S 0.0000 0.0000 0.2463
S 0.0055 0.5028 0.7524

Properties
The density comes out at 6702 kg/m³. The formation energy from raw total energies comes out at -2.005 eV per atom.

Entry 3:
PmDy2PuS4: optimized geometry, GGA-PBE.

Cell: 6.845 3.933 6.859 Å, 90.00 109.18 90.00°
Space group P2/m (No. 10)
Unique sites:
Pm 0.000 0.000 0.000
Dy 0.000 0.500 0.500
Dy 0.500 0.000 0.500
Pu 0.500 0.500 0.000
S 0.251 0.000 0.744
S 0.256 0.500 0.259

Properties
The density comes out at 8019 kg/m³. The formation energy from raw total energies comes out at -1.969 eV per atom.

Total DFT energy (no corrections) values, unit eV per atom, following the record order: -7.77; -7.03; -7.57.